Run 1
Density functional theory data (PBE) for an optimized crystal structure of CsBe2Zn2As3.

Lattice parameters (Å, degrees): 3.956 4.105 10.662 90.00 90.00 90.00
Fractional coordinates of all 8 atoms:
Cs1 0.000 0.000 0.500
Zn1 0.500 0.000 0.852
Zn2 0.500 0.000 0.148
As1 0.500 0.500 0.273
As2 0.000 0.000 0.000
As3 0.500 0.500 0.727
Be1 0.000 0.500 0.152
Be2 0.000 0.500 0.848


Run 2
Density functional theory data (PBE) for an optimized crystal structure of CsBe2Zn2As3.

Lattice parameters (Å, degrees): 4.025 4.025 10.583 90.00 90.00 90.00
Fractional coordinates of all 8 atoms:
Be1 0.500 0.000 0.150
Be2 0.000 0.500 0.150
As1 0.500 0.500 0.719
As2 0.500 0.500 0.260
As3 0.000 0.000 0.023
Zn1 0.500 0.000 0.855
Zn2 0.000 0.500 0.855
Cs1 0.000 0.000 0.488


The relative energies come out as run 1 3.3; run 2 0.0, with values in kJ/mol of atoms.


Run 1
Density functional theory data (PBE) for an optimized crystal structure of HfBeCuAs.

Lattice parameters (Å, degrees): 4.413 4.413 4.413 60.00 60.00 60.00
Fractional coordinates of all 4 atoms:
Be1 0.500 0.500 0.500
As1 0.000 0.000 0.000
Hf1 0.250 0.250 0.250
Cu1 0.750 0.750 0.750

Results
As for the total magnetization: 0.0 μB/f.u.


Run 2
Density functional theory data (PBE) for an optimized crystal structure of HfBeCuAs.

Lattice parameters (Å, degrees): 4.419 4.419 4.419 60.00 60.00 60.00
Fractional coordinates of all 4 atoms:
Be1 0.250 0.250 0.250
As1 0.000 0.000 0.000
Cu1 0.750 0.750 0.750
Hf1 0.500 0.500 0.500

Results
As for the total magnetization: 0.0 μB/f.u.


The relative energies come out as run 1 0.0; run 2 11.3, with values in kJ/mol of atoms.


Run 1
Density functional theory data (PBE) for an optimized crystal structure of BeCuHgAs.

Lattice parameters (Å, degrees): 4.485 4.485 4.485 60.00 60.00 60.00
Fractional coordinates of all 4 atoms:
Cu1 0.750 0.750 0.750
As1 0.000 0.000 0.000
Hg1 0.500 0.500 0.500
Be1 0.250 0.250 0.250


Run 2
Density functional theory data (PBE) for an optimized crystal structure of BeCuHgAs.

Lattice parameters (Å, degrees): 4.538 4.538 4.538 60.00 60.00 60.00
Fractional coordinates of all 4 atoms:
Be1 0.500 0.500 0.500
As1 0.000 0.000 0.000
Hg1 0.250 0.250 0.250
Cu1 0.750 0.750 0.750


The relative energies come out as run 1 0.0; run 2 14.7, with values in kJ/mol of atoms.


Run 1
Density functional theory data (PBE) for an optimized crystal structure of BeCuAsIr.

Lattice parameters (Å, degrees): 4.221 4.221 4.221 60.00 60.00 60.00
Fractional coordinates of all 4 atoms:
Cu1 0.750 0.750 0.750
Be1 0.250 0.250 0.250
Ir1 0.500 0.500 0.500
As1 0.000 0.000 0.000

Results
As for the total magnetization: 0.0 μB/f.u.


Run 2
Density functional theory data (PBE) for an optimized crystal structure of BeCuAsIr.

Lattice parameters (Å, degrees): 4.192 4.192 4.192 60.00 60.00 60.00
Fractional coordinates of all 4 atoms:
As1 0.000 0.000 0.000
Ir1 0.250 0.250 0.250
Cu1 0.750 0.750 0.750
Be1 0.500 0.500 0.500

Results
As for the total magnetization: 0.0 μB/f.u.


The relative energies come out as run 1 21.6; run 2 0.0, with values in kJ/mol of atoms.


Run 1
Density functional theory data (PBE) for an optimized crystal structure of LiBeCuAs.

Lattice parameters (Å, degrees): 4.159 4.159 4.159 60.00 60.00 60.00
Fractional coordinates of all 4 atoms:
As1 0.000 0.000 0.000
Be1 0.500 0.500 0.500
Li1 0.750 0.750 0.750
Cu1 0.250 0.250 0.250


Run 2
Density functional theory data (PBE) for an optimized crystal structure of LiBeCuAs.

Lattice parameters (Å, degrees): 4.119 4.119 4.119 60.00 60.00 60.00
Fractional coordinates of all 4 atoms:
As1 0.000 0.000 0.000
Be1 0.750 0.750 0.750
Li1 0.250 0.250 0.250
Cu1 0.500 0.500 0.500


The relative energies come out as run 1 7.0; run 2 0.0, with values in kJ/mol of atoms.


Run 1
Density functional theory data (PBE) for an optimized crystal structure of BeCuNiAs.

Lattice parameters (Å, degrees): 4.082 4.082 4.082 60.00 60.00 60.00
Fractional coordinates of all 4 atoms:
Ni1 0.250 0.250 0.250
As1 0.500 0.500 0.500
Be1 0.750 0.750 0.750
Cu1 0.000 0.000 0.000

Results
As for the total magnetization: 0.0 μB/f.u.


Run 2
Density functional theory data (PBE) for an optimized crystal structure of BeCuNiAs.

Lattice parameters (Å, degrees): 4.053 4.053 4.053 60.00 60.00 60.00
Fractional coordinates of all 4 atoms:
Be1 0.750 0.750 0.750
Ni1 0.500 0.500 0.500
Cu1 0.000 0.000 0.000
As1 0.250 0.250 0.250

Results
As for the total magnetization: 0.0 μB/f.u.


The relative energies come out as run 1 7.0; run 2 0.0, with values in kJ/mol of atoms.